VASP calculation (GGA+U) on an optimized crystal structure of Li2VF6.

a b c (Å): 5.0434 5.1192 15.3375
angles (deg): 90.00 102.51 90.00
Space group P2_1/c (No. 14)
Unique sites:
Li 0.1910 0.0586 0.0856
Li 0.2699 0.5246 0.2393
V 0.3131 0.0833 0.3977
F 0.0009 0.6215 0.8825
F 0.0819 0.2249 0.2898
F 0.1644 0.1455 0.9574
F 0.3474 0.6441 0.0131
F 0.4475 0.6984 0.6590
F 0.4737 0.6918 0.8423

Volume (A^3/atom): 10.738
Calculated density (g/cm³): 3.1
DFT total energy (eV for the cell shown): -190.27